DFT (PBE) results for a relaxed structure of Tm5Mg.

For the energy of formation from the pure elements, the calculation gives 0.021 eV per atom. The value obtained for the total energy is -23.83 eV/f.u.

The space group is Cmmm (No. 65) and the conventional cell measures 4.8681, 14.7089 and 4.8552 Å, with angles of 90.00, 90.00 and 90.00 degrees. The distinct sites, in fractional coordinates, are Tm at (0.0000, 0.0000, 0.0000), Tm at (0.0000, 0.1655, 0.5000), Tm at (0.0000, 0.3309, 0.0000) and Mg at (0.0000, 0.5000, 0.5000).